# PBE Li3Mg3Cd2, relaxed
data_Li3Mg3Cd2
_symmetry_space_group_name_H-M 'P 1'
_symmetry_Int_Tables_number 1
_cell_length_a 5.453
_cell_length_b 5.453
_cell_length_c 5.453
_cell_angle_alpha 90.37
_cell_angle_beta 90.37
_cell_angle_gamma 89.63
loop_
_symmetry_equiv_pos_as_xyz
'x,y,z'
loop_
_atom_site_label
_atom_site_type_symbol
_atom_site_fract_x
_atom_site_fract_y
_atom_site_fract_z
Li1 Li 0.248 0.752 0.500
Li2 Li 0.500 0.248 0.248
Li3 Li 0.752 0.500 0.752
Mg1 Mg 0.250 0.750 0.000
Mg2 Mg 0.000 0.250 0.250
Mg3 Mg 0.750 0.000 0.750
Cd1 Cd 0.257 0.257 0.743
Cd2 Cd 0.743 0.743 0.257
# Calculated formation energy (meV per atom): -125
# VASP energy (eV per atom): -1.6696
# Size of the total moment (μB per atom): 0.00
# Excess energy over the best structure of this formula in the dataset (meV per atom): 6
# Theoretical density (g/cm³): 3.262

---

# PBE KNi2Ag, relaxed
data_KNi2Ag
_symmetry_space_group_name_H-M 'P 1'
_symmetry_Int_Tables_number 1
_cell_length_a 2.771
_cell_length_b 5.078
_cell_length_c 4.996
_cell_angle_alpha 90.00
_cell_angle_beta 90.00
_cell_angle_gamma 90.00
loop_
_symmetry_equiv_pos_as_xyz
'x,y,z'
loop_
_atom_site_label
_atom_site_type_symbol
_atom_site_fract_x
_atom_site_fract_y
_atom_site_fract_z
Ag1 Ag 0.500 0.000 0.500
K1 K 0.000 0.500 0.500
Ni1 Ni 0.000 0.000 0.000
Ni2 Ni 0.500 0.500 0.000
# Calculated formation energy (meV per atom): 808
# VASP energy (eV per atom): -3.0700
# Size of the total moment (μB per atom): 0.11
# Excess energy over the best structure of this formula in the dataset (meV per atom): 398
# Theoretical density (g/cm³): 6.245

---

# PBE CoRePb2, relaxed
data_CoRePb2
_symmetry_space_group_name_H-M 'P 1'
_symmetry_Int_Tables_number 1
_cell_length_a 5.474
_cell_length_b 5.474
_cell_length_c 5.337
_cell_angle_alpha 71.66
_cell_angle_beta 71.66
_cell_angle_gamma 31.88
loop_
_symmetry_equiv_pos_as_xyz
'x,y,z'
loop_
_atom_site_label
_atom_site_type_symbol
_atom_site_fract_x
_atom_site_fract_y
_atom_site_fract_z
Co1 Co 0.207 0.207 0.215
Pb1 Pb 0.971 0.971 0.066
Pb2 Pb 0.776 0.776 0.698
Re1 Re 0.546 0.546 0.520
# Calculated formation energy (meV per atom): 809
# VASP energy (eV per atom): -5.9335
# Size of the total moment (μB per atom): 0.36
# Excess energy over the best structure of this formula in the dataset (meV per atom): 346
# Theoretical density (g/cm³): 13.722

---

# PBE HoBePt6, relaxed
data_HoBePt6
_symmetry_space_group_name_H-M 'P 1'
_symmetry_Int_Tables_number 1
_cell_length_a 4.023
_cell_length_b 4.023
_cell_length_c 7.829
_cell_angle_alpha 90.00
_cell_angle_beta 90.00
_cell_angle_gamma 90.00
loop_
_symmetry_equiv_pos_as_xyz
'x,y,z'
loop_
_atom_site_label
_atom_site_type_symbol
_atom_site_fract_x
_atom_site_fract_y
_atom_site_fract_z
Ho1 Ho 0.000 0.000 0.000
Be1 Be 0.000 0.000 0.500
Pt1 Pt 0.500 0.500 0.000
Pt2 Pt 0.500 0.500 0.500
Pt3 Pt 0.500 0.000 0.273
Pt4 Pt 0.500 0.000 0.727
Pt5 Pt 0.000 0.500 0.273
Pt6 Pt 0.000 0.500 0.727
# Calculated formation energy (meV per atom): -646
# VASP energy (eV per atom): -6.2150
# Size of the total moment (μB per atom): 0.00
# Excess energy over the best structure of this formula in the dataset (meV per atom): 0
# Theoretical density (g/cm³): 17.622

---

# PBE CsCrRh, relaxed
data_CsCrRh
_symmetry_space_group_name_H-M 'P 1'
_symmetry_Int_Tables_number 1
_cell_length_a 3.587
_cell_length_b 5.977
_cell_length_c 8.982
_cell_angle_alpha 105.62
_cell_angle_beta 99.07
_cell_angle_gamma 91.86
loop_
_symmetry_equiv_pos_as_xyz
'x,y,z'
loop_
_atom_site_label
_atom_site_type_symbol
_atom_site_fract_x
_atom_site_fract_y
_atom_site_fract_z
Cs1 Cs 0.188 0.681 0.336
Cs2 Cs 0.812 0.319 0.664
Cr1 Cr 0.032 0.907 0.902
Cr2 Cr 0.968 0.093 0.098
Rh1 Rh 0.475 0.286 0.002
Rh2 Rh 0.525 0.714 0.998
# Calculated formation energy (meV per atom): 690
# VASP energy (eV per atom): -5.2528
# Size of the total moment (μB per atom): 0.00
# Excess energy over the best structure of this formula in the dataset (meV per atom): 236
# Theoretical density (g/cm³): 5.235

---

# PBE LaSiPtN, relaxed
data_LaSiPtN
_symmetry_space_group_name_H-M 'P 1'
_symmetry_Int_Tables_number 1
_cell_length_a 3.992
_cell_length_b 3.992
_cell_length_c 8.513
_cell_angle_alpha 90.00
_cell_angle_beta 90.00
_cell_angle_gamma 90.00
loop_
_symmetry_equiv_pos_as_xyz
'x,y,z'
loop_
_atom_site_label
_atom_site_type_symbol
_atom_site_fract_x
_atom_site_fract_y
_atom_site_fract_z
La1 La 0.000 0.500 0.846
La2 La 0.500 0.000 0.154
Si1 Si 0.000 0.500 0.334
Si2 Si 0.500 0.000 0.666
Pt1 Pt 0.000 0.000 0.500
Pt2 Pt 0.500 0.500 0.500
N1 N 0.500 0.000 0.871
N2 N 0.000 0.500 0.129
# Formation energy from raw total energies (kJ per mole of atoms): -119
# VASP energy (eV per atom): -7.4169
# Size of the total moment (μB per atom): 0.00
# Theoretical density (g/cm³): 9.206

---

# PBE AgSbAu4, relaxed
data_AgSbAu4
_symmetry_space_group_name_H-M 'P 1'
_symmetry_Int_Tables_number 1
_cell_length_a 5.325
_cell_length_b 6.467
_cell_length_c 8.137
_cell_angle_alpha 90.00
_cell_angle_beta 90.00
_cell_angle_gamma 57.75
loop_
_symmetry_equiv_pos_as_xyz
'x,y,z'
loop_
_atom_site_label
_atom_site_type_symbol
_atom_site_fract_x
_atom_site_fract_y
_atom_site_fract_z
Ag1 Ag 0.000 0.250 0.750
Ag2 Ag 0.000 0.750 0.250
Sb1 Sb 0.500 0.250 0.250
Sb2 Sb 0.500 0.750 0.750
Au1 Au 0.247 0.500 0.927
Au2 Au 0.247 0.500 0.573
Au3 Au 0.753 0.000 0.927
Au4 Au 0.753 0.500 0.427
Au5 Au 0.753 0.000 0.573
Au6 Au 0.247 0.000 0.073
Au7 Au 0.247 0.000 0.427
Au8 Au 0.753 0.500 0.073
# Formation energy from raw total energies (kJ per mole of atoms): 6
# VASP energy (eV per atom): -3.2833
# Size of the total moment (μB per atom): 0.00
# Excess energy over the best structure of this formula in the dataset (meV per atom): 40
# Theoretical density (g/cm³): 14.260

---

# PBE HfIn3Sn, relaxed
data_HfIn3Sn
_symmetry_space_group_name_H-M 'P 1'
_symmetry_Int_Tables_number 1
_cell_length_a 5.497
_cell_length_b 5.497
_cell_length_c 5.497
_cell_angle_alpha 90.00
_cell_angle_beta 90.00
_cell_angle_gamma 90.00
loop_
_symmetry_equiv_pos_as_xyz
'x,y,z'
loop_
_atom_site_label
_atom_site_type_symbol
_atom_site_fract_x
_atom_site_fract_y
_atom_site_fract_z
Hf1 Hf 0.500 0.500 0.500
Sn1 Sn 0.000 0.000 0.000
In1 In 0.000 0.500 0.000
In2 In 0.000 0.000 0.500
In3 In 0.500 0.000 0.000
# Calculated formation energy (meV per atom): 1027
# VASP energy (eV per atom): -3.4076
# Size of the total moment (μB per atom): 0.00
# Excess energy over the best structure of this formula in the dataset (meV per atom): 415
# Theoretical density (g/cm³): 6.415

---

# PBE SrLi2PuF8, relaxed
data_SrLi2PuF8
_symmetry_space_group_name_H-M 'P 1'
_symmetry_Int_Tables_number 1
_cell_length_a 4.029
_cell_length_b 5.414
_cell_length_c 7.965
_cell_angle_alpha 89.91
_cell_angle_beta 89.96
_cell_angle_gamma 78.00
loop_
_symmetry_equiv_pos_as_xyz
'x,y,z'
loop_
_atom_site_label
_atom_site_type_symbol
_atom_site_fract_x
_atom_site_fract_y
_atom_site_fract_z
Sr1 Sr 0.000 0.000 0.500
Li1 Li 0.499 0.500 0.684
Li2 Li 0.501 0.500 0.316
Pu1 Pu 0.000 0.000 0.000
F1 F 0.138 0.757 0.227
F2 F 0.615 0.770 0.000
F3 F 0.861 0.243 0.227
F4 F 0.862 0.243 0.773
F5 F 0.385 0.230 0.000
F6 F 0.139 0.757 0.773
F7 F 0.591 0.721 0.500
F8 F 0.409 0.279 0.500
# Formation energy from raw total energies (kJ per mole of atoms): -326
# VASP energy (eV per atom): -6.2818
# Size of the total moment (μB per atom): 0.33
# Theoretical density (g/cm³): 4.861

---

# PBE Y6Ho2ErTh, relaxed
data_Y6Ho2ErTh
_symmetry_space_group_name_H-M 'P 1'
_symmetry_Int_Tables_number 1
_cell_length_a 9.253
_cell_length_b 8.867
_cell_length_c 8.867
_cell_angle_alpha 116.70
_cell_angle_beta 92.30
_cell_angle_gamma 92.30
loop_
_symmetry_equiv_pos_as_xyz
'x,y,z'
loop_
_atom_site_label
_atom_site_type_symbol
_atom_site_fract_x
_atom_site_fract_y
_atom_site_fract_z
Y1 Y 0.059 0.122 0.772
Y2 Y 0.441 0.228 0.878
Y3 Y 0.941 0.878 0.228
Y4 Y 0.559 0.772 0.122
Y5 Y 0.311 0.996 0.434
Y6 Y 0.189 0.566 0.004
Y7 Y 0.689 0.004 0.566
Y8 Y 0.811 0.434 0.996
Y9 Y 0.106 0.715 0.481
Y10 Y 0.394 0.519 0.285
Y11 Y 0.894 0.285 0.519
Y12 Y 0.606 0.481 0.715
Ho1 Ho 0.443 0.798 0.692
Ho2 Ho 0.057 0.308 0.202
Ho3 Ho 0.557 0.202 0.308
Ho4 Ho 0.943 0.692 0.798
Er1 Er 0.250 0.417 0.583
Er2 Er 0.750 0.583 0.417
Th1 Th 0.250 0.966 0.034
Th2 Th 0.750 0.034 0.966
# Calculated formation energy (meV per atom): 149
# VASP energy (eV per atom): -5.8430
# Size of the total moment (μB per atom): 0.00
# Theoretical density (g/cm³): 6.470

---

# PBE Ce2CrMoN5, relaxed
data_Ce2CrMoN5
_symmetry_space_group_name_H-M 'P 1'
_symmetry_Int_Tables_number 1
_cell_length_a 3.287
_cell_length_b 6.909
_cell_length_c 9.927
_cell_angle_alpha 90.00
_cell_angle_beta 90.00
_cell_angle_gamma 103.76
loop_
_symmetry_equiv_pos_as_xyz
'x,y,z'
loop_
_atom_site_label
_atom_site_type_symbol
_atom_site_fract_x
_atom_site_fract_y
_atom_site_fract_z
Ce1 Ce 0.859 0.719 0.810
Ce2 Ce 0.119 0.238 0.683
Ce3 Ce 0.141 0.281 0.310
Ce4 Ce 0.881 0.762 0.183
Cr1 Cr 0.550 0.101 0.955
Cr2 Cr 0.450 0.899 0.455
Mo1 Mo 0.801 0.601 0.510
Mo2 Mo 0.199 0.399 0.010
N1 N 0.353 0.706 0.006
N2 N 0.684 0.368 0.869
N3 N 0.499 0.998 0.790
N4 N 0.292 0.585 0.656
N5 N 0.957 0.914 0.545
N6 N 0.647 0.294 0.506
N7 N 0.316 0.632 0.369
N8 N 0.501 0.002 0.290
N9 N 0.708 0.415 0.156
N10 N 0.043 0.086 0.045
# Formation energy from raw total energies (kJ per mole of atoms): -94
# VASP energy (eV per atom): -9.1952
# Size of the total moment (μB per atom): 0.05
# Theoretical density (g/cm³): 7.557

---

# PBE ErThCu2, relaxed
data_ErThCu2
_symmetry_space_group_name_H-M 'P 1'
_symmetry_Int_Tables_number 1
_cell_length_a 4.978
_cell_length_b 4.978
_cell_length_c 4.978
_cell_angle_alpha 60.00
_cell_angle_beta 60.00
_cell_angle_gamma 60.00
loop_
_symmetry_equiv_pos_as_xyz
'x,y,z'
loop_
_atom_site_label
_atom_site_type_symbol
_atom_site_fract_x
_atom_site_fract_y
_atom_site_fract_z
Cu1 Cu 0.250 0.250 0.250
Cu2 Cu 0.750 0.750 0.750
Th1 Th 0.500 0.500 0.500
Er1 Er 0.000 0.000 0.000
# Calculated formation energy (meV per atom): -142
# VASP energy (eV per atom): -5.1858
# Size of the total moment (μB per atom): 0.00
# Excess energy over the best structure of this formula in the dataset (meV per atom): 37
# Theoretical density (g/cm³): 10.022

---

> Which value of theoretical density does entry 7 give?

14.260 g/cm³

---

> Number 12 is which compound?

ErThCu2